Entry A
Here is crystalline Cu2NiOs at its relaxed geometry from Alexandria via LeMat-Bulk. Energies are from GGA-PBEsol.

Cell lengths 4.3731, 4.3731, 4.3731 Å; angles 130.58, 130.58, 72.49 degrees
Last column: nearest neighbours and their distance in Å.
Positions (direct):
Cu 0.0000 0.0000 0.0000  4 Cu 2.54, 4 Os 2.54, 4 Ni 2.59
Cu 0.7500 0.2500 0.5000  4 Ni 2.54, 4 Cu 2.54, 4 Os 2.59
Ni 0.5000 0.5000 0.0000  8 Cu 2.54-2.59, 4 Os 2.54
Os 0.2500 0.7500 0.5000  4 Ni 2.54, 8 Cu 2.54-2.59

The space group is I-4m2. The magnetization comes out at 0.007 μB per cell.

=====

Entry B
Here is crystalline Cu2NiOs at its relaxed geometry from Alexandria via LeMat-Bulk. Energies are from GGA-PBEsol.

Cell lengths 4.4682, 4.4682, 4.4441 Å; angles 99.60, 99.60, 32.85 degrees
Last column: nearest neighbours and their distance in Å.
Positions (direct):
Cu 0.2477 0.2477 0.2440  6 Cu 2.52-2.60, 3 Ni 2.55-2.58, 3 Os 2.58-2.59
Cu 0.7523 0.7523 0.7560  6 Cu 2.52-2.60, 3 Ni 2.55-2.58, 3 Os 2.58-2.59
Ni 0.5000 0.5000 0.0000  2 Ni 2.53, 6 Cu 2.55-2.58, 4 Os 2.56
Os 0.0000 0.0000 0.5000  2 Os 2.53, 4 Ni 2.56, 6 Cu 2.58-2.59

The space group is C2/m. The magnetization comes out at 0.003 μB per cell.

=====

entry B ends up most stable, edging out the next structure by 127 meV per atom.

=====

Entry A
Here is crystalline TeP2Os at its relaxed geometry from Alexandria via LeMat-Bulk. Energies are from GGA-PBEsol.

Cell lengths 4.5450, 4.5450, 3.0523 Å; angles 90.00, 90.00, 90.00 degrees
Last column: nearest neighbours and their distance in Å.
Positions (direct):
Te 0.0000 0.0000 0.0000  8 P 2.74, 2 Te 3.05
P 0.0000 0.5000 0.5000  4 Os 2.74, 4 Te 2.74, 2 P 3.05
P 0.5000 0.0000 0.5000  4 Os 2.74, 4 Te 2.74, 2 P 3.05
Os 0.5000 0.5000 0.0000  8 P 2.74, 2 Os 3.05

The space group is P4/mmm. The magnetization comes out at 0.000 μB per cell.

=====

Entry B
Here is crystalline TeP2Os at its relaxed geometry from Alexandria via LeMat-Bulk. Energies are from GGA-PBEsol.

Cell lengths 6.8235, 6.8235, 6.8235 Å; angles 153.15, 149.05, 41.42 degrees
Last column: nearest neighbours and their distance in Å.
Positions (direct):
Te 0.0000 0.0000 0.0000  2 Os 2.72, 2 P 3.00
P 0.6830 0.6830 0.0000  2 P 2.18
P 0.8008 0.3008 0.5000  2 P 2.18
Os 0.3422 0.8422 0.5000  6 P 2.47-2.73, 2 Te 2.72

The space group is Imm2. The magnetization comes out at 0.000 μB per cell.

=====

entry B ends up most stable, edging out the next structure by 540 meV per atom.

=====

Entry A
Here is crystalline RuRhW2 at its relaxed geometry from Alexandria via LeMat-Bulk. Energies are from GGA-PBEsol.

Cell lengths 2.7653, 4.4156, 4.7416 Å; angles 90.00, 90.00, 90.00 degrees
Last column: nearest neighbours and their distance in Å.
Positions (direct):
Ru 0.0000 0.0000 0.0000  8 W 2.69-2.76, 2 Ru 2.77, 2 Rh 2.79
Rh 0.0000 0.5000 0.3610  8 W 2.69-2.74, 2 Rh 2.77, 2 Ru 2.79
W 0.5000 0.0000 0.5038  4 Rh 2.69, 4 Ru 2.73-2.76, 4 W 2.77-2.78
W 0.5000 0.5000 0.8610  4 Ru 2.69, 4 Rh 2.74, 4 W 2.77-2.78

The space group is Pmm2. The magnetization comes out at 0.000 μB per cell.

=====

Entry B
Here is crystalline RuRhW2 at its relaxed geometry from Alexandria via LeMat-Bulk. Energies are from GGA-PBEsol.

Cell lengths 2.7496, 2.7496, 7.6645 Å; angles 90.00, 90.00, 90.00 degrees
Last column: nearest neighbours and their distance in Å.
Positions (direct):
Ru 0.0000 0.0000 0.0000  8 W 2.71, 4 Ru 2.75
Rh 0.0000 0.0000 0.5000  8 W 2.75, 4 Rh 2.75
W 0.5000 0.5000 0.2470  4 Ru 2.71, 4 Rh 2.75, 4 W 2.75
W 0.5000 0.5000 0.7530  4 Ru 2.71, 4 Rh 2.75, 4 W 2.75

The space group is P4/mmm. The magnetization comes out at 0.000 μB per cell.

=====

entry B ends up most stable, edging out the next structure by 18 meV per atom.

=====

Entry A
Here is crystalline Ta5Mo at its relaxed geometry from Alexandria via LeMat-Bulk. Energies are from GGA-PBEsol.

Cell lengths 3.2407, 3.2407, 9.8187 Å; angles 90.00, 90.00, 90.00 degrees
Last column: nearest neighbours and their distance in Å.
Positions (direct):
Ta 0.0000 0.0000 0.0000  8 Ta 2.82
Ta 0.0000 0.0000 0.3415  4 Mo 2.77, 4 Ta 2.86
Ta 0.0000 0.0000 0.6585  4 Mo 2.77, 4 Ta 2.86
Ta 0.5000 0.5000 0.1676  8 Ta 2.82-2.86
Ta 0.5000 0.5000 0.8324  8 Ta 2.82-2.86
Mo 0.5000 0.5000 0.5000  8 Ta 2.77

The space group is P4/mmm. The magnetization comes out at 0.000 μB per cell.

=====

Entry B
Here is crystalline Ta5Mo at its relaxed geometry from Alexandria via LeMat-Bulk. Energies are from GGA-PBEsol.

Cell lengths 2.8296, 4.5810, 7.9547 Å; angles 90.00, 90.27, 90.00 degrees
Last column: nearest neighbours and their distance in Å.
Positions (direct):
Ta 0.0000 0.0000 0.0000  8 Ta 2.82-2.83
Ta 0.3093 0.0000 0.3373  2 Mo 2.77, 6 Ta 2.80-2.84
Ta 0.3262 0.5000 0.8295  1 Mo 2.77, 7 Ta 2.82-2.88
Ta 0.6738 0.5000 0.1705  1 Mo 2.77, 7 Ta 2.82-2.88
Ta 0.6907 0.0000 0.6627  2 Mo 2.77, 6 Ta 2.80-2.84
Mo 0.0000 0.5000 0.5000  6 Ta 2.77, 2 Mo 2.83

The space group is P2/m. The magnetization comes out at 0.000 μB per cell.

=====

entry A ends up most stable, edging out the next structure by 23 meV per atom.

=====

Entry A
Here is crystalline K2RhBr at its relaxed geometry from Alexandria via LeMat-Bulk. Energies are from GGA-PBEsol.

Cell lengths 4.4459, 4.4459, 6.5090 Å; angles 90.00, 90.00, 90.00 degrees
Last column: nearest neighbours and their distance in Å.
Positions (direct):
K 0.0000 0.0000 0.0000  4 Rh 3.14, 2 Br 3.25-3.26
K 0.5000 0.5000 0.4971  4 Br 3.14, 2 Rh 3.25
Rh 0.5000 0.5000 0.9971  6 K 3.14-3.25
Br 0.0000 0.0000 0.5004  6 K 3.14-3.26

The space group is P4mm. The magnetization comes out at 0.963 μB per cell.

=====

Entry B
Here is crystalline K2RhBr at its relaxed geometry from Alexandria via LeMat-Bulk. Energies are from GGA-PBEsol.

Cell lengths 6.2421, 6.2421, 5.4955 Å; angles 101.59, 101.59, 32.54 degrees
Last column: nearest neighbours and their distance in Å.
Positions (direct):
K 0.0000 0.0000 0.0000  4 Rh 3.21-3.41, 3 Br 3.30, 3 K 3.50-3.59
K 0.7297 0.7297 0.5676  4 Br 3.26-3.37, 3 Rh 3.29-3.32, 3 K 3.50-3.59
Rh 0.4490 0.4490 0.4553  1 Br 2.48
Br 0.2810 0.2810 0.1028  1 Rh 2.48

The space group is Cm. The magnetization comes out at 0.961 μB per cell.

=====

entry B ends up most stable, edging out the next structure by 215 meV per atom.

=====

Entry A
Here is crystalline Mg2AsPb at its relaxed geometry from Alexandria via LeMat-Bulk. Energies are from GGA-PBEsol.

Cell lengths 6.4906, 6.4906, 6.4906 Å; angles 146.41, 142.32, 51.35 degrees
Last column: nearest neighbours and their distance in Å.
Positions (direct):
Mg 0.0000 0.0000 0.0000  4 As 2.83, 2 Pb 3.13, 2 Mg 3.15
Mg 0.7006 0.2006 0.5000  2 As 2.77, 4 Pb 3.05
As 0.5262 0.5262 0.0000  6 Mg 2.77-2.83
Pb 0.3015 0.8015 0.5000  6 Mg 3.05-3.13, 2 As 3.23

The space group is Imm2. The magnetization comes out at 0.000 μB per cell.

=====

Entry B
Here is crystalline Mg2AsPb at its relaxed geometry from Alexandria via LeMat-Bulk. Energies are from GGA-PBEsol.

Cell lengths 5.4525, 5.4525, 5.4525 Å; angles 137.58, 121.99, 74.45 degrees
Last column: nearest neighbours and their distance in Å.
Positions (direct):
Mg 0.2200 0.2200 0.0000  2 As 2.75
Mg 0.7800 0.7800 0.0000  2 As 2.75
As 0.0000 0.5000 0.5000  4 Mg 2.75
Pb 0.5000 0.0000 0.5000  8 Mg 3.13-3.26, 4 As 3.30

The space group is Immm. The magnetization comes out at 0.000 μB per cell.

=====

entry A ends up most stable, edging out the next structure by 33 meV per atom.

=====

Entry A
Here is crystalline YFeCl2 at its relaxed geometry from Alexandria via LeMat-Bulk. Energies are from GGA-PBEsol.

Cell lengths 4.9014, 4.9014, 4.9014 Å; angles 127.44, 127.44, 77.54 degrees
Last column: nearest neighbours and their distance in Å.
Positions (direct):
Y 0.0000 0.0000 0.0000  8 Cl 2.89, 4 Fe 3.07
Fe 0.5000 0.5000 0.0000  8 Cl 2.89, 4 Y 3.07
Cl 0.2500 0.7500 0.5000  4 Fe 2.89, 4 Y 2.89, 4 Cl 3.07
Cl 0.7500 0.2500 0.5000  4 Fe 2.89, 4 Y 2.89, 4 Cl 3.07

The space group is I4/mmm. The magnetization comes out at 2.999 μB per cell.

=====

Entry B
Here is crystalline YFeCl2 at its relaxed geometry from Alexandria via LeMat-Bulk. Energies are from GGA-PBEsol.

Cell lengths 3.1915, 3.1915, 9.5922 Å; angles 90.00, 90.00, 90.00 degrees
Last column: nearest neighbours and their distance in Å.
Positions (direct):
Y 0.0000 0.0000 0.0000  8 Cl 2.76
Fe 0.0000 0.0000 0.5000  4 Fe 3.19
Cl 0.5000 0.5000 0.1657  4 Y 2.76
Cl 0.5000 0.5000 0.8343  4 Y 2.76

The space group is P4/mmm. The magnetization comes out at 3.468 μB per cell.

=====

entry A ends up most stable, edging out the next structure by 44 meV per atom.

=====

Entry A
Here is crystalline TlCdPb at its relaxed geometry from Alexandria via LeMat-Bulk. Energies are from GGA-PBEsol.

Cell lengths 5.2548, 5.2548, 3.3661 Å; angles 90.00, 90.00, 120.00 degrees
Last column: nearest neighbours and their distance in Å.
Positions (direct):
Tl 0.0000 0.0000 0.0000  3 Cd 3.17, 2 Tl 3.37, 3 Pb 3.39
Cd 0.6667 0.3333 0.2768  3 Pb 3.17, 3 Tl 3.17, 2 Cd 3.37
Pb 0.3333 0.6667 0.5507  3 Cd 3.17, 2 Pb 3.37, 3 Tl 3.39

The space group is P3m1. The magnetization comes out at 0.000 μB per cell.

=====

Entry B
Here is crystalline TlCdPb at its relaxed geometry from Alexandria via LeMat-Bulk. Energies are from GGA-PBEsol.

Cell lengths 3.4178, 4.5962, 5.7493 Å; angles 67.11, 73.98, 89.86 degrees
Last column: nearest neighbours and their distance in Å.
Positions (direct):
Tl 0.0000 0.0000 0.0000  5 Cd 3.25-3.42, 5 Pb 3.29-3.38, 2 Tl 3.42
Cd 0.6682 0.6643 0.6762  5 Tl 3.25-3.42, 5 Pb 3.26-3.41, 2 Cd 3.42
Pb 0.3351 0.3280 0.3496  5 Cd 3.26-3.41, 5 Tl 3.29-3.38, 2 Pb 3.42

The space group is P1. The magnetization comes out at 0.000 μB per cell.

=====

entry B ends up most stable, edging out the next structure by 8 meV per atom.

=====

Entry A
Here is crystalline AsC3 at its relaxed geometry from Alexandria via LeMat-Bulk. Energies are from GGA-PBEsol.

Cell lengths 3.6896, 3.6896, 7.1124 Å; angles 91.66, 91.66, 38.06 degrees
Last column: nearest neighbours and their distance in Å.
Positions (direct):
As 0.0000 0.0000 0.0000  2 As 2.41
C 0.3050 0.3050 0.5000  3 C 1.36-1.43
C 0.5000 0.5000 0.5000  2 C 1.36
C 0.6950 0.6950 0.5000  3 C 1.36-1.43

The space group is C2/m. The magnetization comes out at 0.000 μB per cell.

=====

Entry B
Here is crystalline AsC3 at its relaxed geometry from Alexandria via LeMat-Bulk. Energies are from GGA-PBEsol.

Cell lengths 4.3906, 4.3906, 4.3906 Å; angles 146.93, 116.01, 73.95 degrees
Last column: nearest neighbours and their distance in Å.
Positions (direct):
As 0.0000 0.0000 0.0000  2 As 2.50, 8 C 2.51-2.64
C 0.3670 0.8670 0.5000  2 C 1.56
C 0.5000 0.5000 0.0000  4 C 1.56
C 0.6330 0.1330 0.5000  2 C 1.56

The space group is Immm. The magnetization comes out at 0.000 μB per cell.

=====

entry A ends up most stable, edging out the next structure by 1319 meV per atom.

=====

Entry A
Here is crystalline Zr2HgPb at its relaxed geometry from Alexandria via LeMat-Bulk. Energies are from GGA-PBEsol.

Cell lengths 5.3107, 5.3107, 5.3107 Å; angles 129.97, 129.97, 73.45 degrees
Last column: nearest neighbours and their distance in Å.
Positions (direct):
Zr 0.2500 0.7500 0.5000  4 Hg 3.09, 4 Pb 3.09, 4 Zr 3.18
Zr 0.7500 0.2500 0.5000  4 Hg 3.09, 4 Pb 3.09, 4 Zr 3.18
Hg 0.0000 0.0000 0.0000  8 Zr 3.09, 4 Pb 3.18
Pb 0.5000 0.5000 0.0000  8 Zr 3.09, 4 Hg 3.18

The space group is I4/mmm. The magnetization comes out at 0.000 μB per cell.

=====

Entry B
Here is crystalline Zr2HgPb at its relaxed geometry from Alexandria via LeMat-Bulk. Energies are from GGA-PBEsol.

Cell lengths 4.4820, 4.4820, 4.2789 Å; angles 90.00, 90.00, 90.00 degrees
Last column: nearest neighbours and their distance in Å.
Positions (direct):
Zr 0.0000 0.5000 0.0000  4 Pb 3.10, 4 Hg 3.10, 4 Zr 3.17
Zr 0.5000 0.0000 0.0000  4 Pb 3.10, 4 Hg 3.10, 4 Zr 3.17
Hg 0.0000 0.0000 0.5000  8 Zr 3.10, 4 Pb 3.17
Pb 0.5000 0.5000 0.5000  8 Zr 3.10, 4 Hg 3.17

The space group is P4/mmm. The magnetization comes out at 0.000 μB per cell.

=====

entry A ends up most stable, edging out the next structure by 5 meV per atom.

=====

Entry A
Here is crystalline LiLa2Mg at its relaxed geometry from Alexandria via LeMat-Bulk. Energies are from GGA-PBEsol.

Cell lengths 5.1370, 6.6966, 6.6966 Å; angles 29.47, 90.00, 90.00 degrees
Last column: nearest neighbours and their distance in Å.
Positions (direct):
Li 0.0000 0.0000 0.0000  2 Mg 2.98
La 0.0000 0.2608 0.2608  3 Li 3.38-3.54, 6 La 3.41-3.57, 4 Mg 3.47
La 0.5000 0.6210 0.6210  3 Mg 3.41-3.51, 6 La 3.41-3.57, 4 Li 3.46
Mg 0.5000 0.8839 0.8839  2 Li 2.98

The space group is Amm2. The magnetization comes out at 0.000 μB per cell.

=====

Entry B
Here is crystalline LiLa2Mg at its relaxed geometry from Alexandria via LeMat-Bulk. Energies are from GGA-PBEsol.

Cell lengths 5.5141, 5.5141, 5.5141 Å; angles 120.81, 120.81, 88.61 degrees
Last column: nearest neighbours and their distance in Å.
Positions (direct):
Li 0.0000 0.0000 0.0000  8 La 3.36
La 0.2500 0.7500 0.5000  4 Li 3.36, 4 Mg 3.36
La 0.7500 0.2500 0.5000  4 Li 3.36, 4 Mg 3.36
Mg 0.5000 0.5000 0.0000  8 La 3.36

The space group is I4/mmm. The magnetization comes out at 0.000 μB per cell.

=====

entry A ends up most stable, edging out the next structure by 12 meV per atom.

=====

Entry A
Here is crystalline MnMoSe2 at its relaxed geometry from Alexandria via LeMat-Bulk. Energies are from GGA-PBEsol.

Cell lengths 2.9405, 2.9405, 7.6340 Å; angles 90.00, 90.00, 90.00 degrees
Last column: nearest neighbours and their distance in Å.
Positions (direct):
Mn 0.0000 0.0000 0.0000  4 Se 2.41
Mo 0.5000 0.5000 0.2342  4 Se 2.57, 4 Mn 2.74
Se 0.0000 0.0000 0.4312  4 Mo 2.57
Se 0.5000 0.5000 0.8404  4 Mn 2.41

The space group is P4mm. The magnetization comes out at 0.001 μB per cell.

=====

Entry B
Here is crystalline MnMoSe2 at its relaxed geometry from Alexandria via LeMat-Bulk. Energies are from GGA-PBEsol.

Cell lengths 8.4969, 8.4969, 8.4969 Å; angles 21.49, 21.49, 21.49 degrees
Last column: nearest neighbours and their distance in Å.
Positions (direct):
Mn 0.0000 0.0000 0.0000  2 Se 2.40
Mo 0.5000 0.5000 0.5000  6 Se 2.53
Se 0.0963 0.0963 0.0963  1 Mn 2.40, 3 Mo 2.53
Se 0.9037 0.9037 0.9037  1 Mn 2.40, 3 Mo 2.53

The space group is R-3m. The magnetization comes out at 3.606 μB per cell.

=====

entry A ends up most stable, edging out the next structure by 160 meV per atom.